Computed, not measured: a geometry-optimized VAg2PbO4 structure at the GGA+U level of DFT.

abc: 5.1860 5.1860 6.2035
angles: 111.87 111.87 96.25
Closest atoms and distances in Å follow each position.
Positions (direct):
Ag: 0.7561 0.2561 0.5122  4 O 2.41-2.49
Ag: 0.2561 0.7561 0.5122  4 O 2.41-2.49
V: 0.4904 0.4904 0.9807  4 O 1.75-1.79
O: 0.7734 0.4039 0.1774  1 V 1.75
Pb: 0.0336 0.0336 0.0673  4 O 2.45-2.50
O: 0.1792 0.1792 0.7867  1 V 1.79
O: 0.4039 0.7734 0.1774  1 V 1.75
O: 0.6075 0.6075 0.7867  1 V 1.79

Values from the calculation:
The calculation puts the total energy at -5.546 eV per atom.